Compound: TbPmGdAg
Source: Alexandria via LeMat-Bulk
Functional: PBE
Structure: optimized geometry

a = 5.394 Å, b = 5.394 Å, c = 5.394 Å
α = 60.00°, β = 60.00°, γ = 60.00°
Element x y z (fractional)
Tb1 0.000 0.000 0.000
Pm1 0.250 0.250 0.250
Gd1 0.500 0.500 0.500
Ag1 0.750 0.750 0.750

Values from the calculation:
Uncorrected energy = -6.4980 eV per atom
Magnetization = 9.384 μB per cell
Fermi-level density of states = 4.7 states/eV/f.u.